No. 1
A plane-wave DFT calculation with PBE was carried out for an optimized crystal structure of PmTh4O10.

```
PmTh4O10
1.0
3.945 0.000 0.485
1.943 3.433 0.485
-0.009 -0.005 16.369
Pm Th O
1 4 10
direct
0.000 0.000 0.000
0.400 0.400 0.801
0.800 0.800 0.600
0.200 0.200 0.400
0.600 0.600 0.199
0.949 0.949 0.153
0.150 0.150 0.550
0.550 0.550 0.350
0.351 0.351 0.948
0.750 0.750 0.750
0.649 0.649 0.052
0.850 0.850 0.450
0.250 0.250 0.250
0.051 0.051 0.847
0.450 0.450 0.650
```

Output
E_form (uncorrected), eV/f.u.: -54.6
V, Å³ per atom: 14.78


No. 2
A plane-wave DFT calculation with PBE was carried out for an optimized crystal structure of TaTi2Nb3.

```
TaTi2Nb3
1.0
5.543 0.000 0.000
-2.772 4.801 0.000
0.000 0.000 8.929
Ta Ti Nb
2 4 6
direct
0.333 0.667 0.000
0.667 0.333 0.000
0.000 0.000 0.000
0.667 0.333 0.500
0.000 0.000 0.500
0.333 0.667 0.500
0.500 0.000 0.745
0.000 0.500 0.745
0.500 0.500 0.745
0.500 0.000 0.255
0.500 0.500 0.255
0.000 0.500 0.255
```

Output
ΔH_f (0 K), eV/atom: 0.46
Energy above the lowest structure with this stoichiometry, eV/f.u.: 2.661
V, Å³ per atom: 19.80


No. 3
A plane-wave DFT calculation with PBE was carried out for an optimized crystal structure of NaZn2Si.

```
NaZn2Si
1.0
-3.205 4.100 2.830
-5.155 -4.036 -0.775
1.649 -3.415 6.816
Na Zn Si
4 8 4
direct
0.895 0.253 0.521
0.605 0.247 0.021
0.105 0.747 0.479
0.395 0.753 0.979
0.022 0.060 0.165
0.478 0.440 0.665
0.978 0.940 0.835
0.522 0.560 0.335
0.374 0.174 0.380
0.126 0.326 0.880
0.626 0.826 0.620
0.874 0.674 0.120
0.665 0.917 0.311
0.835 0.583 0.811
0.335 0.083 0.689
0.165 0.417 0.189
```

Output
E_form (uncorrected), eV/f.u.: 0.1
V, Å³ per atom: 19.01


No. 4
A plane-wave DFT calculation with PBE was carried out for an optimized crystal structure of YTl2Pb.

```
YTl2Pb
1.0
3.633 0.000 0.000
0.000 4.648 0.000
0.000 0.000 6.802
Pb Tl Y
1 2 1
direct
0.500 0.500 0.750
0.000 0.000 0.006
0.000 0.000 0.494
0.500 0.500 0.250
```

Output
ΔH_f (0 K), eV/atom: -0.14
V, Å³ per atom: 28.71


No. 5
A plane-wave DFT calculation with PBE was carried out for an optimized crystal structure of PtSe3F.

```
PtSe3F
1.0
4.583 0.000 0.000
0.000 4.583 0.000
0.000 0.000 4.583
Se Pt F
3 1 1
direct
0.000 0.500 0.000
0.000 0.000 0.500
0.500 0.000 0.000
0.500 0.500 0.500
0.000 0.000 0.000
```

Output
Energy above the lowest structure with this stoichiometry, eV/f.u.: 2.003
E_form (uncorrected), eV/f.u.: 4.2
V, Å³ per atom: 19.25


No. 6
A plane-wave DFT calculation with PBE was carried out for an optimized crystal structure of NdYMgIn.

```
NdYMgIn
1.0
-3.477 -3.915 1.325
1.812 -4.595 2.185
-0.986 -1.091 5.197
Y Mg Nd In
1 1 1 1
direct
0.750 0.750 0.750
0.000 0.000 0.000
0.250 0.250 0.250
0.500 0.500 0.500
```

Output
ΔH_f (0 K), eV/atom: -0.35
V, Å³ per atom: 27.85


No. 7
A plane-wave DFT calculation with PBE was carried out for an optimized crystal structure of TaMoPb.

```
TaMoPb
1.0
-2.717 2.796 -2.400
-0.233 -0.389 -4.556
-3.798 -1.632 -1.967
Mo Pb Ta
1 1 1
direct
0.750 0.750 0.750
0.000 0.000 0.000
0.500 0.500 0.500
```

Output
ΔH_f (0 K), eV/atom: 0.89
Energy above the lowest structure with this stoichiometry, eV/f.u.: 1.427
V, Å³ per atom: 22.62


No. 8
A plane-wave DFT calculation with PBE was carried out for an optimized crystal structure of LiP3.

```
LiP3
1.0
-2.400 -4.604 0.885
3.739 1.494 3.395
-2.783 3.783 -2.385
Li P
1 3
direct
0.000 0.000 0.000
0.500 0.000 0.500
0.500 0.500 0.000
0.000 0.500 0.500
```

Output
ΔH_f (0 K), eV/atom: 0.28
Energy above the lowest structure with this stoichiometry, eV/f.u.: 1.219
V, Å³ per atom: 14.51